Crystalline Hf2ZrTe6 at its relaxed geometry, computed with PBE-GGA.

Values from the calculation:
Electronic total energy   -6.104 eV per atom
Calculated density   6.97 g/cm3
E_form (uncorrected)   -0.85 eV/atom
Energy above the lowest structure with this stoichiometry   0 meV/atom
D(E_F)   0.185 states/eV per atom

Cell: 6.8744 6.8744 7.0695 Å, 90.00 90.00 120.00°
Space group P-31m (No. 162)
Symmetry-distinct sites (fractional):
Hf1 0.3333 0.6667 0.0000 x2
Zr1 0.0000 0.0000 0.0000 x1
Te1 0.0000 0.3362 0.2524 x6

=====

Crystalline Hf4Zr2Te9 at its relaxed geometry, computed with PBE-GGA.

Values from the calculation:
Electronic total energy   -6.424 eV per atom
Calculated density   7.77 g/cm3
E_form (uncorrected)   -0.74 eV/atom
D(E_F)   0.620 states/eV per atom

Cell: 7.1237 7.1237 19.9007 Å, 90.00 90.00 120.00°
Space group P-3c1 (No. 165)
Symmetry-distinct sites (fractional):
Hf1 0.3333 0.6667 0.3375 x4
Hf2 0.3333 0.6667 0.4951 x4
Zr1 0.0000 0.0000 0.1717 x4
Te1 0.0000 0.3469 0.2500 x6
Te2 0.0100 0.3372 0.5832 x12

=====

Crystalline HfZrTe2 at its relaxed geometry, computed with PBE-GGA.

Values from the calculation:
Electronic total energy   -6.842 eV per atom
Calculated density   9.72 g/cm3
E_form (uncorrected)   -0.65 eV/atom
Energy above the lowest structure with this stoichiometry   2 meV/atom
D(E_F)   0.055 states/eV per atom

Cell: 7.1042 7.1042 7.1042 Å, 90.00 90.00 90.00°
Space group Fm-3m (No. 225)
Symmetry-distinct sites (fractional):
Hf1 0.0000 0.0000 0.0000 x4
Zr1 0.0000 0.0000 0.5000 x4
Te1 0.2500 0.2500 0.2500 x8

=====

Crystalline HfZr8Te2 at its relaxed geometry, computed with PBE-GGA.

Values from the calculation:
Electronic total energy   -7.868 eV per atom
Calculated density   7.32 g/cm3
E_form (uncorrected)   -0.18 eV/atom
D(E_F)   1.140 states/eV per atom

Cell: 8.2390 12.7294 5.3029 Å, 90.00 108.27 90.00°
Space group C2/m (No. 12)
Symmetry-distinct sites (fractional):
Hf1 0.0000 0.0000 0.0000 x2
Zr1 0.0000 0.2280 0.0000 x4
Zr2 0.1186 0.5000 0.8419 x4
Zr3 0.1960 0.1139 0.6003 x8
Te1 0.0000 0.3132 0.5000 x4